{
  "formula": "Sr2HgIrO6",
  "functional": "PBE-GGA",
  "state": "optimized geometry",
  "lattice": [[-2.8590, 2.4269, -4.4164], [0.2972, -2.6827, -5.1267], [-4.7833, -2.6980, -1.8462]],
  "species": ["O", "O", "O", "O", "O", "O", "Ir", "Sr", "Sr", "Hg"],
  "fractional_positions": [[0.8683, 0.2048, 0.6825], [0.2048, 0.6825, 0.8683], [0.6825, 0.8683, 0.2048], [0.3176, 0.1318, 0.7952], [0.1318, 0.7952, 0.3176], [0.7952, 0.3176, 0.1318], [0.0001, 0.0001, 0.0001], [0.7594, 0.7594, 0.7594], [0.2408, 0.2408, 0.2408], [0.5001, 0.5001, 0.5001]],
  "e_form_raw_ev_per_atom": -1.49,
  "mass_density_g_cm3": 7.53,
  "energy_ev_per_cell": -57.2,
  "space_group": "R-3"
}